VASP calculation (PBE-GGA) on a geometry-optimized Cd3BS2F6 structure.

- Electronic total energy: -3.9331 eV per atom
- Total magnetization: 0.00 μB per formula unit
- Uncorrected formation energy: -1.524 eV per atom

Geometry as POSCAR:
```
Cd3BS2F6
1.0
6.7271 -3.2316 0.0000
6.7271 3.2316 0.0000
-0.9552 0.0000 4.0962
Cd B S F
3 1 2 6
direct
0.0000 0.0000 0.0000
0.0000 0.5000 0.5000
0.5000 0.0000 0.5000
0.5000 0.5000 0.5000
0.2025 0.2025 0.9716
0.7975 0.7975 0.0284
0.1884 0.6578 0.6501
0.3422 0.8116 0.3499
0.4336 0.4336 0.2179
0.5664 0.5664 0.7821
0.6578 0.1884 0.6501
0.8116 0.3422 0.3499
```

---

VASP calculation (PBE-GGA) on a geometry-optimized Cd3BSe2F6 structure.

- Electronic total energy: -3.8503 eV per atom
- Total magnetization: 0.00 μB per formula unit
- Uncorrected formation energy: -1.549 eV per atom

Geometry as POSCAR:
```
Cd3BSe2F6
1.0
6.7513 -3.2548 0.0000
6.7513 3.2548 0.0000
-1.0763 0.0000 4.3378
Cd B Se F
3 1 2 6
direct
0.0000 0.0000 0.0000
0.0000 0.5000 0.5000
0.5000 0.0000 0.5000
0.5000 0.5000 0.5000
0.2021 0.2021 0.9729
0.7979 0.7979 0.0271
0.1910 0.6534 0.6468
0.3466 0.8090 0.3532
0.4339 0.4339 0.2311
0.5661 0.5661 0.7689
0.6534 0.1910 0.6468
0.8090 0.3466 0.3532
```

---

VASP calculation (PBE-GGA) on a geometry-optimized TlCdB2F8 structure.

- Electronic total energy: -5.1102 eV per atom
- Total magnetization: 1.00 μB per formula unit
- Uncorrected formation energy: -2.476 eV per atom

Geometry as POSCAR:
```
TlCdB2F8
1.0
2.6871 1.5514 7.9027
-2.6871 1.5514 7.9027
0.0000 -3.1028 7.9027
Tl Cd B F
1 1 2 8
direct
0.0000 0.0000 0.0000
0.5000 0.5000 0.5000
0.2529 0.2529 0.2529
0.7471 0.7471 0.7471
0.0084 0.1891 0.5019
0.1891 0.5019 0.0084
0.3127 0.3127 0.3127
0.4981 0.9916 0.8109
0.5019 0.0084 0.1891
0.6873 0.6873 0.6873
0.8109 0.4981 0.9916
0.9916 0.8109 0.4981
```

---

VASP calculation (PBE-GGA) on a geometry-optimized ZnCdB2F structure.

- Electronic total energy: -2.3068 eV per atom
- Total magnetization: 0.00 μB per formula unit
- Uncorrected formation energy: 1.176 eV per atom

Geometry as POSCAR:
```
ZnCdB2F
1.0
4.2140 0.0000 0.0000
0.0000 4.2140 0.0000
0.0000 0.0000 4.1871
Zn Cd B F
1 1 2 1
direct
0.0000 0.0000 0.0000
0.5000 0.5000 0.0000
0.0000 0.5000 0.5000
0.5000 0.0000 0.5000
0.0000 0.0000 0.5000
```

---

VASP calculation (PBE-GGA) on a geometry-optimized CdFeB3 structure.

- Electronic total energy: -3.0210 eV per atom
- Total magnetization: 0.14 μB per formula unit

Geometry as POSCAR:
```
CdFeB3
1.0
4.2306 0.0000 0.0000
0.0000 4.2306 0.0000
0.0000 0.0000 4.2306
Cd Fe B
1 1 3
direct
0.0000 0.0000 0.0000
0.5000 0.5000 0.5000
0.0000 0.0000 0.5000
0.0000 0.5000 0.0000
0.5000 0.0000 0.0000
```

---

VASP calculation (PBE-GGA) on a geometry-optimized CdFe3B structure.

- Electronic total energy: -6.4625 eV per atom
- Total magnetization: 5.29 μB per formula unit

Geometry as POSCAR:
```
CdFe3B
1.0
3.9466 0.0000 0.0000
0.0000 3.9466 0.0000
0.0000 0.0000 3.9466
Cd Fe B
1 3 1
direct
0.0000 0.0000 0.0000
0.0000 0.5000 0.5000
0.5000 0.0000 0.5000
0.5000 0.5000 0.0000
0.5000 0.5000 0.5000
```

---

VASP calculation (PBE-GGA) on a geometry-optimized CdFe3B structure.

- Electronic total energy: -4.1571 eV per atom
- Total magnetization: 8.85 μB per formula unit

Geometry as POSCAR:
```
CdFe3B
1.0
4.7386 0.0000 0.0000
0.0000 4.7386 0.0000
0.0000 0.0000 4.7386
Cd Fe B
1 3 1
direct
0.0000 0.0000 0.0000
0.0000 0.0000 0.5000
0.0000 0.5000 0.0000
0.5000 0.0000 0.0000
0.5000 0.5000 0.5000
```

---

VASP calculation (PBE-GGA) on a geometry-optimized Cd2FeB structure.

- Electronic total energy: -3.5615 eV per atom
- Total magnetization: 2.34 μB per formula unit

Geometry as POSCAR:
```
Cd2FeB
1.0
-4.2542 4.2542 1.9888
4.2542 -4.2542 1.9888
4.2542 4.2542 -1.9888
Cd Fe B
4 2 2
direct
0.3750 0.2368 0.3618
0.7632 0.1250 0.1382
0.8750 0.0132 0.6382
0.9868 0.6250 0.8618
0.2500 0.7500 0.5000
0.5000 0.5000 0.0000
0.0000 0.0000 0.0000
0.7500 0.2500 0.5000
```